1.
First-principles (PBE) data for Li8Cd2Ga after structural relaxation, as listed in OQMD.

The calculation puts the total energy at -2.026 eV/atom.

It has space group C2/m (No. 12), with a = 7.889 Å, b = 4.550 Å, c = 10.620 Å, α = 90.00°, β = 104.20° and γ = 90.00°. The asymmetric unit holds Li at (0.087, 0.000, 0.260), Li at (0.139, 0.500, 0.917), Li at (0.180, 0.000, 0.540), Li at (0.225, 0.500, 0.175), Cd at (0.048, 0.500, 0.644) and Ga at (0.000, 0.000, 0.000).

=====

2.
First-principles (PBE) data for NaCuNiTe2S after structural relaxation, as listed in OQMD.

The calculation puts the total energy at -3.763 eV/atom.

It has space group Cmcm (No. 63), with a = 3.728 Å, b = 13.240 Å, c = 10.010 Å, α = 90.00°, β = 90.00° and γ = 90.00°. The asymmetric unit holds Na at (0.000, 0.238, 0.250), Cu at (0.000, 0.041, 0.750), Ni at (0.000, 0.500, 0.000), Te at (0.000, 0.136, 0.527) and S at (0.000, 0.446, 0.750).

=====

3.
First-principles (PBE) data for NdErIn2Pt4 after structural relaxation, as listed in OQMD.

The calculation puts the total energy at -5.819 eV/atom.

It has space group P-6m2 (No. 187), with a = 4.5950 Å, b = 4.5950 Å, c = 9.1536 Å, α = 90.00°, β = 90.00° and γ = 120.00°. The asymmetric unit holds Nd at (0.0000, 0.0000, 0.0000), Er at (0.3333, 0.6667, 0.5000), In at (0.6667, 0.3333, 0.2539), Pt at (0.0000, 0.0000, 0.3464) and Pt at (0.3333, 0.6667, 0.1669).